## TeMo (PBE-GGA)

Data for TeMo after structural relaxation.

Distance to the lowest polymorph of the same formula   233 meV per atom
Crystal system   tetragonal

Structure (CIF):
```
data_TeMo
_symmetry_space_group_name_H-M 'P 1'
_symmetry_Int_Tables_number 1
_symmetry_space_group_name_Hall 'P 1'
_cell_length_a 11.8420
_cell_length_b 11.8420
_cell_length_c 3.5995
_cell_angle_alpha 90.00
_cell_angle_beta 90.00
_cell_angle_gamma 90.00
loop_
_atom_site_label
_atom_site_type_symbol
_atom_site_fract_x
_atom_site_fract_y
_atom_site_fract_z
_atom_site_occupancy
Te1 Te 0.0448 0.2958 0.0000 1
Te2 Te 0.2666 0.6067 0.5000 1
Te3 Te 0.2958 0.9552 0.0000 1
Te4 Te 0.3933 0.2666 0.5000 1
Te5 Te 0.6067 0.7334 0.5000 1
Te6 Te 0.7042 0.0448 0.0000 1
Te7 Te 0.7334 0.3933 0.5000 1
Te8 Te 0.9552 0.7042 0.0000 1
Mo1 Mo 0.1149 0.5186 0.0000 1
Mo2 Mo 0.1932 0.3861 0.5000 1
Mo3 Mo 0.3861 0.8068 0.5000 1
Mo4 Mo 0.4814 0.1149 0.0000 1
Mo5 Mo 0.5186 0.8851 0.0000 1
Mo6 Mo 0.6139 0.1932 0.5000 1
Mo7 Mo 0.8068 0.6139 0.5000 1
Mo8 Mo 0.8851 0.4814 0.0000 1
```